(1)
This record from Alexandria describes an optimized crystal structure of Rb2InCl5. The functional is PBE-GGA.

Cell and atoms, written as extended XYZ:
```
8
Lattice="-3.890 3.890 4.679 3.890 -3.890 4.679 3.890 3.890 -4.679" Properties=species:S:1:pos:R:3 pbc="T T T"
Rb 3.890 0.000 0.000
Rb 0.000 3.890 0.000
In 0.000 0.000 2.692
Cl 2.156 2.156 -2.490
Cl 1.734 -1.734 2.189
Cl -1.734 1.734 2.189
Cl 1.734 1.734 2.189
Cl 0.000 0.000 5.097
```

Output
Formation energy without anion corrections = -150 kJ/mol of atoms
Total magnetic moment = 0.00 Bohr magnetons per cell
N(E_F) = 0.00 states/eV per cell



(2)
This record from Alexandria describes an optimized crystal structure of KAsF3. The functional is PBE-GGA.

Cell and atoms, written as extended XYZ:
```
10
Lattice="6.859 -3.224 0.000 6.859 3.224 0.000 -1.245 0.000 4.207" Properties=species:S:1:pos:R:3 pbc="T T T"
K 2.018 0.000 0.456
K 10.455 0.000 3.751
As 4.991 0.000 2.649
As 7.482 0.000 1.558
F 4.328 1.378 1.480
F 6.859 1.553 0.000
F 8.145 1.378 2.727
F 4.328 -1.378 1.480
F 6.859 -1.553 0.000
F 8.145 -1.378 2.727
```

Output
Formation energy without anion corrections = -213 kJ/mol of atoms
Energy above the most stable polymorph in this dataset = 0.00 kJ/mol of atoms
Total magnetic moment = 0.00 Bohr magnetons per cell
N(E_F) = 0.00 states/eV per cell



(3)
This record from Alexandria describes an optimized crystal structure of Nb5In2. The functional is PBE-GGA.

Cell and atoms, written as extended XYZ:
```
7
Lattice="5.065 -1.788 0.000 5.065 1.788 0.000 -0.818 0.000 7.435" Properties=species:S:1:pos:R:3 pbc="T T T"
Nb 0.000 0.000 0.000
Nb 1.164 0.000 3.141
Nb 2.349 0.000 6.439
Nb 6.964 0.000 0.996
Nb 8.149 0.000 4.294
In 4.030 0.000 2.111
In 5.284 0.000 5.324
```

Output
Total magnetic moment = 0.00 Bohr magnetons per cell
Formation energy from the elements = 0.0204 eV/atom
N(E_F) = 6.31 states/eV per cell



(4)
This record from Alexandria describes an optimized crystal structure of K2PdWS4. The functional is PBE-GGA.

Cell and atoms, written as extended XYZ:
```
16
Lattice="0.000 6.589 11.742 2.810 0.000 11.742 2.810 6.589 0.000" Properties=species:S:1:pos:R:3 pbc="T T T"
K 2.108 4.942 1.263
K 3.513 8.237 7.134
K 2.108 4.942 16.350
K 3.513 8.237 22.221
Pd 0.703 1.647 2.936
Pd 4.918 11.531 20.549
W 2.108 4.942 8.807
W 3.513 8.237 14.678
S 2.267 2.986 4.249
S 3.353 6.281 10.120
S 1.948 6.898 4.249
S 1.948 2.986 13.364
S 3.673 10.193 10.120
S 3.673 6.281 19.236
S 2.267 6.898 13.364
S 3.353 10.193 19.236
```

Output
Formation energy without anion corrections = -84 kJ/mol of atoms
Total magnetic moment = 0.00 Bohr magnetons per cell



(5)
This record from Alexandria describes an optimized crystal structure of FeHgW. The functional is PBE-GGA.

Cell and atoms, written as extended XYZ:
```
3
Lattice="1.470 0.849 6.628 -1.470 0.849 6.628 0.000 -1.697 6.628" Properties=species:S:1:pos:R:3 pbc="T T T"
Fe 0.000 0.000 0.000
Hg 0.000 0.000 4.318
W 0.000 0.000 8.423
```

Output
Energy above the most stable polymorph in this dataset = 26.27 kJ/mol of atoms
Total magnetic moment = 1.64 Bohr magnetons per cell
Formation energy from the elements = 0.5488 eV/atom
N(E_F) = 2.60 states/eV per cell



(6)
This record from Alexandria describes an optimized crystal structure of Ag2Mo. The functional is PBE-GGA.

Cell and atoms, written as extended XYZ:
```
6
Lattice="-3.420 3.420 2.382 3.420 -3.420 2.382 3.420 3.420 -2.382" Properties=species:S:1:pos:R:3 pbc="T T T"
Ag 4.433 1.013 0.000
Ag 1.013 2.407 0.000
Ag 2.407 1.013 2.382
Ag -1.013 2.407 2.382
Mo 0.000 0.000 1.191
Mo 0.000 0.000 3.573
```

Output
Energy above the most stable polymorph in this dataset = 30.21 kJ/mol of atoms
Total magnetic moment = 0.41 Bohr magnetons per cell
Formation energy from the elements = 0.7046 eV/atom
N(E_F) = 5.44 states/eV per cell



(7)
This record from Alexandria describes an optimized crystal structure of Pm2Nd2Sm2Ho. The functional is PBE-GGA.

Cell and atoms, written as extended XYZ:
```
7
Lattice="2.867 1.655 8.398 -2.867 1.655 8.398 0.000 -3.311 8.398" Properties=species:S:1:pos:R:3 pbc="T T T"
Pm 0.000 0.000 2.219
Pm 0.000 0.000 22.975
Nd 0.000 0.000 9.200
Nd 0.000 0.000 15.994
Sm 0.000 0.000 5.723
Sm 0.000 0.000 19.471
Ho 0.000 0.000 12.597
```

Output
Total magnetic moment = 0.00 Bohr magnetons per cell
Formation energy from the elements = 0.1283 eV/atom
N(E_F) = 13.88 states/eV per cell



(8)
This record from Alexandria describes an optimized crystal structure of NpSn2Pt9. The functional is PBE-GGA.

Cell and atoms, written as extended XYZ:
```
12
Lattice="4.092 0.000 0.000 0.000 4.092 0.000 0.000 0.000 12.280" Properties=species:S:1:pos:R:3 pbc="T T T"
Np 0.000 0.000 0.000
Sn 0.000 0.000 4.132
Sn 0.000 0.000 8.148
Pt 0.000 2.046 2.083
Pt 0.000 2.046 6.140
Pt 0.000 2.046 10.197
Pt 2.046 0.000 2.083
Pt 2.046 0.000 6.140
Pt 2.046 0.000 10.197
Pt 2.046 2.046 0.000
Pt 2.046 2.046 4.131
Pt 2.046 2.046 8.149
```

Output
Total magnetic moment = 2.94 Bohr magnetons per cell
Formation energy from the elements = -0.4576 eV/atom
N(E_F) = 14.42 states/eV per cell



(9)
This record from Alexandria describes an optimized crystal structure of ZnNiHg2. The functional is PBE-GGA.

Cell and atoms, written as extended XYZ:
```
4
Lattice="2.978 0.000 0.000 0.000 2.978 0.000 0.000 0.000 8.201" Properties=species:S:1:pos:R:3 pbc="T T T"
Zn 0.000 0.000 0.000
Ni 1.489 1.489 6.856
Hg 0.000 0.000 4.992
Hg 1.489 1.489 2.284
```

Output
Total magnetic moment = 0.00 Bohr magnetons per cell
Formation energy from the elements = 0.0916 eV/atom
N(E_F) = 1.45 states/eV per cell



(10)
This record from Alexandria describes an optimized crystal structure of LiHo3Al. The functional is PBE-GGA.

Cell and atoms, written as extended XYZ:
```
20
Lattice="8.123 0.000 0.000 0.000 6.661 0.000 -3.155 0.000 9.597" Properties=species:S:1:pos:R:3 pbc="T T T"
Li 0.141 1.661 0.040
Li -1.437 1.669 4.839
Li 6.405 4.991 4.758
Li 4.827 5.000 9.556
Ho -0.697 0.045 7.736
Ho 0.881 3.285 2.938
Ho 0.892 0.043 2.948
Ho -0.686 3.287 7.747
Ho 1.369 4.991 5.761
Ho 2.947 5.000 0.963
Ho 2.021 1.661 8.634
Ho 3.599 1.669 3.836
Ho 5.653 3.374 1.850
Ho 4.076 6.617 6.648
Ho 4.087 3.376 6.659
Ho 5.664 6.615 1.861
Al 2.852 1.666 0.931
Al 1.274 1.665 5.730
Al 3.694 4.996 3.867
Al 2.116 4.995 8.665
```

Output
Energy above the most stable polymorph in this dataset = 6.75 kJ/mol of atoms
Total magnetic moment = 0.00 Bohr magnetons per cell
Formation energy from the elements = -0.0755 eV/atom
N(E_F) = 17.70 states/eV per cell



(11)
This record from Alexandria describes an optimized crystal structure of YHfSe2N. The functional is PBE-GGA.

Cell and atoms, written as extended XYZ:
```
5
Lattice="5.408 0.000 0.000 0.000 5.408 0.000 0.000 0.000 3.983" Properties=species:S:1:pos:R:3 pbc="T T T"
Y 0.000 0.000 0.000
Hf 2.704 2.704 1.992
Se 0.000 2.704 0.000
Se 2.704 0.000 0.000
N 0.000 0.000 1.992
```

Output
Formation energy without anion corrections = 11 kJ/mol of atoms
Energy above the most stable polymorph in this dataset = 102.55 kJ/mol of atoms
Total magnetic moment = 0.41 Bohr magnetons per cell
N(E_F) = 1.66 states/eV per cell



Number 1: calculated volume 283 Å³/f.u.. Number 2: calculated volume 93 Å³/f.u.. Number 3: calculated volume 135 Å³/f.u.. Number 4: calculated volume 217 Å³/f.u.. Number 5: calculated volume 50 Å³/f.u.. Number 6: calculated volume 56 Å³/f.u.. Number 7: calculated volume 239 Å³/f.u.. Number 8: calculated volume 206 Å³/f.u.. Number 9: calculated volume 73 Å³/f.u.. Number 10: calculated volume 130 Å³/f.u.. Number 11: calculated volume 116 Å³/f.u..